Version i
VASP calculation (PBE) on Ba2ClF after structural relaxation.

SG: I-42d, No. 122
volume: 157 Å³/f.u.

Cell: 8.238 8.238 8.238 Å, 130.63 130.63 72.40°
Fractional positions:
Ba (0.081, 0.625, 0.956)
Ba (0.375, 0.331, 0.456)
Ba (0.669, 0.125, 0.044)
Ba (0.875, 0.919, 0.544)
Cl (0.250, 0.750, 0.500)
Cl (0.500, 0.500, 0.000)
F (0.000, 0.000, 0.000)
F (0.750, 0.250, 0.500)



Version ii
VASP calculation (PBE) on Ba2ClF after structural relaxation.

SG: Fm-3m, No. 225
volume: 109 Å³/f.u.

Cell: 5.360 5.360 5.360 Å, 60.00 60.00 60.00°
Fractional positions:
Ba (0.250, 0.250, 0.250)
Ba (0.750, 0.750, 0.750)
Cl (0.000, 0.000, 0.000)
F (0.500, 0.500, 0.500)



Which of them is least stable? Easy: version ii.



Version i
VASP calculation (PBE) on BaClF2 after structural relaxation.

SG: I-42d, No. 122
volume: 96 Å³/f.u.

Cell: 8.926 8.926 8.926 Å, 148.65 148.65 44.93°
Fractional positions:
Ba (0.000, 0.000, 0.000)
Ba (0.750, 0.250, 0.500)
Cl (0.250, 0.750, 0.500)
Cl (0.500, 0.500, 0.000)
F (0.082, 0.625, 0.957)
F (0.375, 0.332, 0.457)
F (0.668, 0.125, 0.043)
F (0.875, 0.918, 0.543)



Version ii
VASP calculation (PBE) on BaClF2 after structural relaxation.

SG: Fm-3m, No. 225
volume: 76 Å³/f.u.

Cell: 4.747 4.747 4.747 Å, 60.00 60.00 60.00°
Fractional positions:
Ba (0.000, 0.000, 0.000)
Cl (0.500, 0.500, 0.500)
F (0.250, 0.250, 0.250)
F (0.750, 0.750, 0.750)



Which of them is least stable? Easy: version i.